The following is a PBE with a Hubbard U calculation of a geometry-optimized Sr3Fe2CoO9 structure, from Alexandria.

```
15
Lattice="5.517 0.000 0.000 -2.759 4.778 0.000 0.000 0.000 6.740" Properties=species:S:1:pos:R:3 pbc="T T T"
Sr 0.000 0.000 0.000
Sr 0.000 3.185 4.482
Sr 2.759 1.593 2.259
Fe 0.000 3.185 1.130
Fe 2.759 1.593 5.611
Co 0.000 0.000 3.370
O -1.379 2.389 0.000
O 0.000 1.574 2.271
O -1.395 3.991 2.271
O 1.363 0.787 4.470
O 2.759 0.000 0.000
O 1.379 2.389 0.000
O 1.395 3.991 2.271
O 4.154 0.787 4.470
O 2.759 3.204 4.470
```

E = -6.217 eV/atom